A plane-wave DFT calculation with PBE was carried out for a relaxed USiF crystal.

a = 6.7038 Å, b = 3.5560 Å, c = 9.0277 Å
α = 90.00°, β = 96.80°, γ = 90.00°
Closest atoms and distances in Å follow each position.
Space group C2/m (No. 12)
One atom of each set of equivalent atoms:
U: 0.1943 0.0000 0.4007 (multiplicity 4)  3 F 2.33-2.59, 2 U 2.57
Si: 0.1685 0.0000 0.0453 (multiplicity 4)  3 Si 2.29-2.31
F: 0.0237 0.5000 0.2763 (multiplicity 4)  3 U 2.33-2.59

**Formation energy from raw total energies**: -1.032 eV per atom


A plane-wave DFT calculation with PBE was carried out for a relaxed AlVPd2 crystal.

a = 3.8752 Å, b = 3.8752 Å, c = 17.1635 Å
α = 90.00°, β = 90.00°, γ = 90.00°
Closest atoms and distances in Å follow each position.
Space group I-42d (No. 122)
One atom of each set of equivalent atoms:
Al: 0.0000 0.0000 0.0000 (multiplicity 4)  4 Pd 2.54, 4 V 2.74
V: 0.0000 0.0000 0.5000 (multiplicity 4)  4 Pd 2.55, 4 Al 2.74
Pd: 0.2489 0.2500 0.1250 (multiplicity 8)  2 Al 2.54, 2 V 2.55, 4 Pd 2.73-2.75

**E_form**: -0.15 eV per formula unit


A plane-wave DFT calculation with PBE was carried out for a relaxed CeSeI crystal.

a = 7.4090 Å, b = 7.4090 Å, c = 7.4090 Å
α = 90.00°, β = 90.00°, γ = 90.00°
Closest atoms and distances in Å follow each position.
Space group F-43m (No. 216)
One atom of each set of equivalent atoms:
Ce: 0.0000 0.0000 0.0000 (multiplicity 4)  4 I 3.21, 4 Se 3.21
Se: 0.2500 0.2500 0.2500 (multiplicity 4)  4 Ce 3.21
I: 0.2500 0.2500 0.7500 (multiplicity 4)  4 Ce 3.21

**Formation energy from raw total energies**: -1.372 eV per atom


A plane-wave DFT calculation with PBE was carried out for a relaxed Ti2NbW4 crystal.

a = 2.7316 Å, b = 7.0666 Å, c = 7.0686 Å
α = 118.30°, β = 97.17°, γ = 97.10°
Closest atoms and distances in Å follow each position.
Space group P-1 (No. 2)
One atom of each set of equivalent atoms:
Ti: 0.0496 0.4325 0.2899 (multiplicity 2)  3 Ti 2.72-2.73, 1 Nb 2.73, 4 W 2.77-2.90
Nb: 0.0000 0.0000 0.0000 (multiplicity 1)  2 Ti 2.73, 2 Nb 2.73, 4 W 2.74-2.75
W: 0.2526 0.2894 0.8545 (multiplicity 2)  5 W 2.72-2.91, 1 Nb 2.75, 2 Ti 2.77-2.90
W: 0.3850 0.1440 0.4338 (multiplicity 2)  5 W 2.72-2.91, 1 Nb 2.74, 2 Ti 2.78-2.87

**E_form**: 0.93 eV per formula unit